Entry 1:
{
  "formula": "HoZrTcPt",
  "functional": "PBE",
  "state": "optimized geometry",
  "lattice_angstrom": [[6.7440, 0.0000, 0.0000], [0.0000, 6.7440, 0.0000], [0.0000, 0.0000, 6.7440]],
  "species": ["Ho", "Ho", "Ho", "Ho", "Zr", "Zr", "Zr", "Zr", "Tc", "Tc", "Tc", "Tc", "Pt", "Pt", "Pt", "Pt"],
  "frac_coords": [[0.0000, 0.0000, 0.0000], [0.0000, 0.5000, 0.5000], [0.5000, 0.0000, 0.5000], [0.5000, 0.5000, 0.0000], [0.0000, 0.0000, 0.5000], [0.0000, 0.5000, 0.0000], [0.5000, 0.0000, 0.0000], [0.5000, 0.5000, 0.5000], [0.2500, 0.2500, 0.2500], [0.2500, 0.7500, 0.7500], [0.7500, 0.2500, 0.7500], [0.7500, 0.7500, 0.2500], [0.2500, 0.2500, 0.7500], [0.2500, 0.7500, 0.2500], [0.7500, 0.2500, 0.2500], [0.7500, 0.7500, 0.7500]],
  "total_energy_ev_per_atom": -8.02,
  "total_magnetization_mub_per_fu": 0.000,
  "formation_energy_ev_per_atom": -0.638,
  "vol_a3_per_cell": 306.7,
  "dos_ef_per_ev_atom": 0.42
}


Entry 2:
{
  "formula": "Ho3Te2Pt",
  "functional": "PBE",
  "state": "optimized geometry",
  "lattice_angstrom": [[0.0000, 6.0751, 12.6363], [4.3683, 0.0000, 12.6363], [4.3683, 6.0751, 0.0000]],
  "species": ["Ho", "Ho", "Ho", "Ho", "Ho", "Ho", "Ho", "Ho", "Ho", "Ho", "Ho", "Ho", "Te", "Te", "Te", "Te", "Te", "Te", "Te", "Te", "Pt", "Pt", "Pt", "Pt"],
  "frac_coords": [[0.0358, 0.5339, 0.1823], [0.0910, 0.6590, 0.6590], [0.1823, 0.7481, 0.0358], [0.2519, 0.8177, 0.4661], [0.3410, 0.9090, 0.9090], [0.4661, 0.9642, 0.2519], [0.5339, 0.0358, 0.7481], [0.6590, 0.0910, 0.0910], [0.7481, 0.1823, 0.5339], [0.8177, 0.2519, 0.9642], [0.9090, 0.3410, 0.3410], [0.9642, 0.4661, 0.8177], [0.1302, 0.1302, 0.6198], [0.2961, 0.2961, 0.4539], [0.3802, 0.3802, 0.8698], [0.4539, 0.4539, 0.2961], [0.5461, 0.5461, 0.7039], [0.6198, 0.6198, 0.1302], [0.7039, 0.7039, 0.5461], [0.8698, 0.8698, 0.3802], [0.0415, 0.0415, 0.2085], [0.2085, 0.2085, 0.0415], [0.7915, 0.7915, 0.9585], [0.9585, 0.9585, 0.7915]],
  "formation_energy_uncorrected_ev_per_atom": -1.2903,
  "e_above_lowest_polymorph_mev_per_atom": 0,
  "total_energy_ev_per_atom": -5.63,
  "total_magnetization_mub_per_fu": 0.000,
  "vol_a3_per_cell": 670.7,
  "dos_ef_per_ev_atom": 0.67
}


Entry 3:
{
  "formula": "Ho4Te2Pt",
  "functional": "PBE",
  "state": "optimized geometry",
  "lattice_angstrom": [[7.8546, 0.0000, 0.0000], [0.0000, 12.3127, 0.0000], [0.0000, 0.0000, 4.2875]],
  "species": ["Ho", "Ho", "Ho", "Ho", "Ho", "Ho", "Ho", "Ho", "Te", "Te", "Te", "Te", "Pt", "Pt"],
  "frac_coords": [[0.1441, 0.2031, 0.0000], [0.2043, 0.9463, 0.5000], [0.2957, 0.4463, 0.5000], [0.3559, 0.7031, 0.0000], [0.6441, 0.2969, 0.0000], [0.7043, 0.5537, 0.5000], [0.7957, 0.0537, 0.5000], [0.8559, 0.7969, 0.0000], [0.0687, 0.6680, 0.5000], [0.4313, 0.1680, 0.5000], [0.5687, 0.8320, 0.5000], [0.9313, 0.3320, 0.5000], [0.0000, 0.0000, 0.0000], [0.5000, 0.5000, 0.0000]],
  "formation_energy_uncorrected_ev_per_atom": -1.0932,
  "total_energy_ev_per_atom": -5.47,
  "total_magnetization_mub_per_fu": 0.000,
  "vol_a3_per_cell": 414.6,
  "dos_ef_per_ev_atom": 0.55
}


Entry 4:
{
  "formula": "Ho2TePt",
  "functional": "PBE",
  "state": "optimized geometry",
  "lattice_angstrom": [[4.1283, 0.0000, 0.0000], [-2.0641, 3.5752, 0.0000], [0.0000, 0.0000, 21.8629]],
  "species": ["Ho", "Ho", "Ho", "Ho", "Ho", "Ho", "Te", "Te", "Te", "Pt", "Pt", "Pt"],
  "frac_coords": [[0.0000, 0.0000, 0.2371], [0.0000, 0.0000, 0.7629], [0.3333, 0.6667, 0.4296], [0.3333, 0.6667, 0.9037], [0.6667, 0.3333, 0.0963], [0.6667, 0.3333, 0.5704], [0.0000, 0.0000, 0.0000], [0.3333, 0.6667, 0.6667], [0.6667, 0.3333, 0.3333], [0.0000, 0.0000, 0.5000], [0.3333, 0.6667, 0.1667], [0.6667, 0.3333, 0.8333]],
  "formation_energy_uncorrected_ev_per_atom": -1.2777,
  "e_above_lowest_polymorph_mev_per_atom": 7,
  "total_energy_ev_per_atom": -5.86,
  "total_magnetization_mub_per_fu": 0.000,
  "vol_a3_per_cell": 322.7,
  "dos_ef_per_ev_atom": 0.48
}


Entry 5:
{
  "formula": "Ho3TePt",
  "functional": "PBE",
  "state": "optimized geometry",
  "lattice_angstrom": [[2.0381, -6.7447, 0.0000], [2.0381, 6.7447, 0.0000], [0.0000, 0.0000, 10.2527]],
  "species": ["Ho", "Ho", "Ho", "Ho", "Ho", "Ho", "Te", "Te", "Pt", "Pt"],
  "frac_coords": [[0.0696, 0.9304, 0.7500], [0.3649, 0.6351, 0.5536], [0.3649, 0.6351, 0.9464], [0.6351, 0.3649, 0.0536], [0.6351, 0.3649, 0.4464], [0.9304, 0.0696, 0.2500], [0.2511, 0.7489, 0.2500], [0.7489, 0.2511, 0.7500], [0.0000, 0.0000, 0.0000], [0.0000, 0.0000, 0.5000]],
  "formation_energy_uncorrected_ev_per_atom": -0.9991,
  "e_above_lowest_polymorph_mev_per_atom": 6,
  "total_energy_ev_per_atom": -5.58,
  "total_magnetization_mub_per_fu": 0.000,
  "vol_a3_per_cell": 281.9,
  "dos_ef_per_ev_atom": 0.66
}


Entry 6:
{
  "formula": "Ho3TePt",
  "functional": "PBE",
  "state": "optimized geometry",
  "lattice_angstrom": [[8.4311, 0.0000, 0.0000], [0.0000, 3.8556, 0.0000], [-1.4169, 0.0000, 8.9937]],
  "species": ["Ho", "Ho", "Ho", "Ho", "Ho", "Ho", "Te", "Te", "Pt", "Pt"],
  "frac_coords": [[0.0161, 0.2500, 0.3456], [0.3231, 0.2500, 0.1337], [0.3728, 0.2500, 0.5990], [0.6272, 0.7500, 0.4010], [0.6769, 0.7500, 0.8663], [0.9839, 0.7500, 0.6544], [0.3098, 0.7500, 0.8638], [0.6902, 0.2500, 0.1362], [0.2747, 0.7500, 0.3623], [0.7253, 0.2500, 0.6377]],
  "formation_energy_uncorrected_ev_per_atom": -1.0049,
  "e_above_lowest_polymorph_mev_per_atom": 0,
  "total_energy_ev_per_atom": -5.59,
  "total_magnetization_mub_per_fu": 0.536,
  "vol_a3_per_cell": 292.4,
  "dos_ef_per_ev_atom": 0.69
}


Entry 7:
{
  "formula": "Ho4TePt",
  "functional": "PBE",
  "state": "optimized geometry",
  "lattice_angstrom": [[8.2644, 0.0000, 0.0000], [0.0000, 3.9321, 0.0000], [0.0000, 0.0000, 19.5075]],
  "species": ["Ho", "Ho", "Ho", "Ho", "Ho", "Ho", "Ho", "Ho", "Ho", "Ho", "Ho", "Ho", "Ho", "Ho", "Ho", "Ho", "Te", "Te", "Te", "Te", "Pt", "Pt", "Pt", "Pt"],
  "frac_coords": [[0.0151, 0.2500, 0.0690], [0.0411, 0.7500, 0.2166], [0.1383, 0.7500, 0.6523], [0.1421, 0.7500, 0.4487], [0.3579, 0.2500, 0.9487], [0.3617, 0.2500, 0.1523], [0.4589, 0.2500, 0.7166], [0.4849, 0.7500, 0.5690], [0.5151, 0.2500, 0.4310], [0.5411, 0.7500, 0.2834], [0.6383, 0.7500, 0.8477], [0.6421, 0.7500, 0.0513], [0.8579, 0.2500, 0.5513], [0.8617, 0.2500, 0.3477], [0.9589, 0.2500, 0.7834], [0.9849, 0.7500, 0.9310], [0.2419, 0.2500, 0.3136], [0.2581, 0.7500, 0.8136], [0.7419, 0.2500, 0.1864], [0.7581, 0.7500, 0.6864], [0.2288, 0.2500, 0.5503], [0.2712, 0.7500, 0.0503], [0.7288, 0.2500, 0.9497], [0.7712, 0.7500, 0.4497]],
  "formation_energy_uncorrected_ev_per_atom": -0.9132,
  "e_above_lowest_polymorph_mev_per_atom": 0,
  "total_energy_ev_per_atom": -5.50,
  "total_magnetization_mub_per_fu": 0.000,
  "vol_a3_per_cell": 633.9,
  "dos_ef_per_ev_atom": 0.96
}


Entry 8:
{
  "formula": "Ho3Te2Pt",
  "functional": "PBE",
  "state": "optimized geometry",
  "lattice_angstrom": [[6.0439, 0.0000, 0.0000], [0.0000, 14.4715, 0.0000], [0.0000, 0.0000, 4.2279]],
  "species": ["Ho", "Ho", "Ho", "Ho", "Ho", "Ho", "Te", "Te", "Te", "Te", "Pt", "Pt"],
  "frac_coords": [[0.0000, 0.0000, 0.0000], [0.0000, 0.3762, 0.5000], [0.0000, 0.6238, 0.5000], [0.5000, 0.1238, 0.5000], [0.5000, 0.5000, 0.0000], [0.5000, 0.8762, 0.5000], [0.0000, 0.1593, 0.5000], [0.0000, 0.8407, 0.5000], [0.5000, 0.3407, 0.5000], [0.5000, 0.6593, 0.5000], [0.0000, 0.5000, 0.0000], [0.5000, 0.0000, 0.0000]],
  "formation_energy_uncorrected_ev_per_atom": -1.1580,
  "e_above_lowest_polymorph_mev_per_atom": 132,
  "total_energy_ev_per_atom": -5.50,
  "total_magnetization_mub_per_fu": 0.000,
  "vol_a3_per_cell": 369.8,
  "dos_ef_per_ev_atom": 1.03
}


Entry 9:
{
  "formula": "Ho5Te2Pt2",
  "functional": "PBE",
  "state": "optimized geometry",
  "lattice_angstrom": [[7.7923, -3.8893, 0.0000], [7.7923, 3.8893, 0.0000], [0.0000, 0.0000, 7.7721]],
  "species": ["Ho", "Ho", "Ho", "Ho", "Ho", "Ho", "Ho", "Ho", "Ho", "Ho", "Te", "Te", "Te", "Te", "Pt", "Pt", "Pt", "Pt"],
  "frac_coords": [[0.0000, 0.0000, 0.0000], [0.0398, 0.7213, 0.6584], [0.2213, 0.5398, 0.1584], [0.2787, 0.9602, 0.6584], [0.4602, 0.7787, 0.1584], [0.5000, 0.5000, 0.5000], [0.5398, 0.2213, 0.8416], [0.7213, 0.0398, 0.3416], [0.7787, 0.4602, 0.8416], [0.9602, 0.2787, 0.3416], [0.2079, 0.2079, 0.0000], [0.2921, 0.2921, 0.5000], [0.7079, 0.7079, 0.5000], [0.7921, 0.7921, 0.0000], [0.1397, 0.8603, 0.3636], [0.3603, 0.6397, 0.8636], [0.6397, 0.3603, 0.1364], [0.8603, 0.1397, 0.6364]],
  "formation_energy_uncorrected_ev_per_atom": -1.2127,
  "total_energy_ev_per_atom": -5.80,
  "total_magnetization_mub_per_fu": 0.000,
  "vol_a3_per_cell": 471.1,
  "dos_ef_per_ev_atom": 0.93
}


Entry 10:
{
  "formula": "HoTe2Pt",
  "functional": "PBE",
  "state": "optimized geometry",
  "lattice_angstrom": [[3.9472, 0.0000, 0.0000], [-1.9736, 3.4184, 0.0000], [0.0000, 0.0000, 26.9973]],
  "species": ["Ho", "Ho", "Ho", "Te", "Te", "Te", "Te", "Te", "Te", "Pt", "Pt", "Pt"],
  "frac_coords": [[0.0000, 0.0000, 0.0000], [0.3333, 0.6667, 0.6667], [0.6667, 0.3333, 0.3333], [0.0000, 0.0000, 0.1122], [0.0000, 0.0000, 0.8878], [0.3333, 0.6667, 0.5545], [0.3333, 0.6667, 0.7789], [0.6667, 0.3333, 0.2211], [0.6667, 0.3333, 0.4455], [0.0000, 0.0000, 0.5000], [0.3333, 0.6667, 0.1667], [0.6667, 0.3333, 0.8333]],
  "formation_energy_uncorrected_ev_per_atom": -0.2517,
  "total_energy_ev_per_atom": -4.48,
  "total_magnetization_mub_per_fu": 0.000,
  "vol_a3_per_cell": 364.3,
  "dos_ef_per_ev_atom": 0.70
}


Entry 11:
{
  "formula": "Ho2TePt",
  "functional": "PBE",
  "state": "optimized geometry",
  "lattice_angstrom": [[4.1717, 0.0000, 0.0000], [-2.0859, 3.6128, 0.0000], [0.0000, 0.0000, 21.6423]],
  "species": ["Ho", "Ho", "Ho", "Ho", "Ho", "Ho", "Te", "Te", "Te", "Pt", "Pt", "Pt"],
  "frac_coords": [[0.0000, 0.0000, 0.0000], [0.0000, 0.0000, 0.1957], [0.3333, 0.6667, 0.6667], [0.3333, 0.6667, 0.8623], [0.6667, 0.3333, 0.3333], [0.6667, 0.3333, 0.5290], [0.0000, 0.0000, 0.4309], [0.3333, 0.6667, 0.0975], [0.6667, 0.3333, 0.7642], [0.0000, 0.0000, 0.5972], [0.3333, 0.6667, 0.2639], [0.6667, 0.3333, 0.9306]],
  "formation_energy_uncorrected_ev_per_atom": -1.2845,
  "e_above_lowest_polymorph_mev_per_atom": 0,
  "total_energy_ev_per_atom": -5.87,
  "total_magnetization_mub_per_fu": 0.000,
  "vol_a3_per_cell": 326.2,
  "dos_ef_per_ev_atom": 0.23
}


Entry 12:
{
  "formula": "Ho7Te2Pt2",
  "functional": "PBE",
  "state": "optimized geometry",
  "lattice_angstrom": [[-1.9664, 7.8393, 4.8153], [1.9664, -7.8393, 4.8153], [1.9664, 7.8393, -4.8153]],
  "species": ["Ho", "Ho", "Ho", "Ho", "Ho", "Ho", "Ho", "Te", "Te", "Pt", "Pt"],
  "frac_coords": [[0.0000, 0.0000, 0.0000], [0.0593, 0.3754, 0.6840], [0.0878, 0.7312, 0.3566], [0.3745, 0.7312, 0.6434], [0.4536, 0.5832, 0.8704], [0.6914, 0.3754, 0.3160], [0.7127, 0.5832, 0.1296], [0.3375, 0.3375, 0.0000], [0.7378, 0.2378, 0.5000], [0.3115, 0.0736, 0.2379], [0.8357, 0.0736, 0.7621]],
  "formation_energy_uncorrected_ev_per_atom": -1.0291,
  "total_energy_ev_per_atom": -5.61,
  "total_magnetization_mub_per_fu": 0.000,
  "vol_a3_per_cell": 296.9,
  "dos_ef_per_ev_atom": 0.75
}